# 1
A relaxed structure of K2LiBi2. Source: the Alexandria database, functional PBE-GGA.

Computed properties:
**Crystal system**: tetragonal
**Calculated density**: 4.7 g/cm3
**ΔE to the lowest computed polymorph**: 0.09 eV/f.u.
**Energy of formation from the pure elements**: -0.329 eV/atom

Lattice parameters (Å, degrees): 7.8252 7.8252 5.8276 90.00 90.00 90.00
Last column: nearest neighbours and their distance in Å.
Element x y z (fractional)
K  0.1649  0.3351  0.0000  6 Bi 3.62-3.77, 1 K 3.65
K  0.3351  0.8351  0.0000  6 Bi 3.62-3.77, 1 K 3.65
K  0.6649  0.1649  0.0000  6 Bi 3.62-3.77, 1 K 3.65
K  0.8351  0.6649  0.0000  6 Bi 3.62-3.77, 1 K 3.65
Li  0.0000  0.0000  0.5000  4 Bi 3.02
Li  0.5000  0.5000  0.5000  4 Bi 3.02
Bi  0.1407  0.6407  0.5000  2 Li 3.02, 1 Bi 3.11
Bi  0.3593  0.1407  0.5000  2 Li 3.02, 1 Bi 3.11
Bi  0.6407  0.8593  0.5000  2 Li 3.02, 1 Bi 3.11
Bi  0.8593  0.3593  0.5000  2 Li 3.02, 1 Bi 3.11

***

# 2
A relaxed structure of ScZnN. Source: the Alexandria database, functional PBE-GGA.

Computed properties:
**Crystal system**: trigonal
**Calculated density**: 4.6 g/cm3
**ΔE to the lowest computed polymorph**: 0.53 eV/f.u.
**Uncorrected formation energy**: -0.965 eV per atom

Lattice parameters (Å, degrees): 7.5242 7.5242 7.5242 29.19 29.19 29.19
Last column: nearest neighbours and their distance in Å.
Element x y z (fractional)
Sc  0.1157  0.1157  0.1157  4 N 2.12-2.19
Sc  0.8843  0.8843  0.8843  4 N 2.12-2.19
Zn  0.3090  0.3090  0.3090  1 N 2.05
Zn  0.6910  0.6910  0.6910  1 N 2.05
N  0.2139  0.2139  0.2139  1 Zn 2.05, 4 Sc 2.12-2.19
N  0.7861  0.7861  0.7861  1 Zn 2.05, 4 Sc 2.12-2.19

***

# 3
A relaxed structure of InFeAg2. Source: the Alexandria database, functional PBE-GGA.

Computed properties:
**Crystal system**: monoclinic
**Calculated density**: 9.1 g/cm3
**Energy of formation from the pure elements**: 0.242 eV/atom

Lattice parameters (Å, degrees): 2.9477 3.9112 6.0911 90.00 90.16 90.00
Last column: nearest neighbours and their distance in Å.
Element x y z (fractional)
In  0.0000  0.0000  0.0000  4 Fe 2.85-2.86, 5 Ag 2.87-2.97, 2 In 2.95
Fe  0.5009  0.5000  0.2409  6 Ag 2.82-3.15, 4 In 2.85-2.86, 2 Fe 2.95
Ag  0.0001  0.0000  0.4712  4 Fe 2.82-2.83, 1 In 2.87, 6 Ag 2.89-2.95
Ag  0.5000  0.5000  0.7235  6 Ag 2.89-2.95, 2 Fe 2.94-3.15, 4 In 2.97

***

# 4
A relaxed structure of AgRuSe2. Source: the Alexandria database, functional PBE-GGA.

Computed properties:
**Crystal system**: cubic
**Calculated density**: 8.4 g/cm3
**ΔE to the lowest computed polymorph**: 3.38 eV/f.u.
**Uncorrected formation energy**: 0.756 eV per atom

Lattice parameters (Å, degrees): 4.6764 4.6764 4.6764 60.00 60.00 60.00
Last column: nearest neighbours and their distance in Å.
Element x y z (fractional)
Ag  0.0000  0.0000  0.0000  4 Se 2.86, 4 Ru 2.86
Ru  0.2500  0.2500  0.2500  4 Se 2.86, 4 Ag 2.86
Se  0.5000  0.5000  0.5000  4 Se 2.86, 4 Ru 2.86
Se  0.7500  0.7500  0.7500  4 Se 2.86, 4 Ag 2.86

***

# 5
A relaxed structure of TbCeThSc. Source: the Alexandria database, functional PBE-GGA.

Computed properties:
**Crystal system**: cubic
**Calculated density**: 8.1 g/cm3
**ΔE to the lowest computed polymorph**: 0.56 eV/f.u.
**Energy of formation from the pure elements**: 0.193 eV/atom

Lattice parameters (Å, degrees): 5.5179 5.5179 5.5179 60.00 60.00 60.00
Last column: nearest neighbours and their distance in Å.
Element x y z (fractional)
Tb  0.0000  0.0000  0.0000  4 Ce 3.38, 4 Sc 3.38
Ce  0.2500  0.2500  0.2500  4 Th 3.38, 4 Tb 3.38
Th  0.5000  0.5000  0.5000  4 Sc 3.38, 4 Ce 3.38
Sc  0.7500  0.7500  0.7500  4 Tb 3.38, 4 Th 3.38

***

# 6
A relaxed structure of LiReBr2. Source: the Alexandria database, functional PBE-GGA.

Computed properties:
**Crystal system**: cubic
**Calculated density**: 8.5 g/cm3
**ΔE to the lowest computed polymorph**: 1.90 eV/f.u.
**Uncorrected formation energy**: 0.613 eV per atom

Lattice parameters (Å, degrees): 4.6090 4.6090 4.6090 60.00 60.00 60.00
Last column: nearest neighbours and their distance in Å.
Element x y z (fractional)
Li  0.0000  0.0000  0.0000  8 Br 2.82
Re  0.5000  0.5000  0.5000  8 Br 2.82
Br  0.2500  0.2500  0.2500  4 Re 2.82, 4 Li 2.82
Br  0.7500  0.7500  0.7500  4 Li 2.82, 4 Re 2.82

***

# 7
A relaxed structure of YBeH2. Source: the Alexandria database, functional PBE-GGA.

Computed properties:
**Crystal system**: tetragonal
**Calculated density**: 3.8 g/cm3
**ΔE to the lowest computed polymorph**: 0.00 eV/f.u.

Lattice parameters (Å, degrees): 5.8743 5.8743 5.8743 138.92 138.92 59.50
Last column: nearest neighbours and their distance in Å.
Element x y z (fractional)
Y  0.0000  0.0000  0.0000  4 H 2.28
Y  0.7500  0.2500  0.5000  4 H 2.28
Be  0.2500  0.7500  0.5000  4 H 1.71
Be  0.5000  0.5000  0.0000  4 H 1.71
H  0.2587  0.6250  0.1337  2 Be 1.71
H  0.3750  0.5087  0.6337  2 Be 1.71
H  0.4913  0.1250  0.8663  2 Be 1.71
H  0.8750  0.7413  0.3663  2 Be 1.71

***

# 8
A relaxed structure of DyP3Rh6. Source: the Alexandria database, functional PBE-GGA.

Computed properties:
**Crystal system**: triclinic
**Calculated density**: 9.4 g/cm3
**Energy of formation from the pure elements**: -0.779 eV/atom

Lattice parameters (Å, degrees): 5.6179 5.7161 5.7474 103.54 118.97 91.84
Last column: nearest neighbours and their distance in Å.
Element x y z (fractional)
Dy  0.0000  0.0000  0.0000  2 P 2.84-3.14, 7 Rh 2.87-3.15
P  0.3126  0.8560  0.6090  6 Rh 2.27-2.35
P  0.6270  0.8595  0.2758  6 Rh 2.27-2.35
P  0.9042  0.4818  0.8182  5 Rh 2.33-2.45
Rh  0.0240  0.1496  0.5600  3 P 2.31-2.45
Rh  0.3094  0.5591  0.2459  3 P 2.33-2.35
Rh  0.5175  0.1580  0.5334  3 P 2.28-2.39
Rh  0.5180  0.5967  0.8621  3 P 2.27-2.40
Rh  0.5336  0.1469  0.0375  2 P 2.29-2.32
Rh  0.9176  0.5949  0.4534  3 P 2.28-2.37